VASP calculation (PBE with a Hubbard U) on a geometry-optimized InGaCoF6 structure.

Cell: 5.371 5.391 5.963 Å, 90.26 90.13 59.87°
Each line ends with the local moment (μB).
Fractional coordinates of all 9 atoms:
1 In 0.998 0.001 0.000  -0.01
2 Ga 0.333 0.334 0.500  0.00
3 Co 0.665 0.667 0.500  2.78
4 F 0.018 0.373 0.316  0.03
5 F 0.369 0.020 0.681  0.03
6 F 0.615 0.367 0.682  0.03
7 F 0.018 0.608 0.684  0.03
8 F 0.369 0.612 0.319  0.03
9 F 0.615 0.018 0.318  0.03

## Properties
Space group: No. 5
DFT total energy: -4.73 eV per atom
Total magnetization: 2.98 μB/f.u.